Entry 1:
VASP calculation (PBE-GGA) on an optimized crystal structure of CuOs2Br.

Results
Size of the total moment = 0.0 Bohr magnetons per cell

a b c (Å): 2.911 2.929 7.879
angles (deg): 90.00 90.02 90.00
Space group Pm (No. 6)
Inequivalent atoms, fractional coordinates:
Cu 0.000 0.000 0.000
Os 0.499 0.500 0.778
Os 0.999 0.000 0.579
Br 0.998 0.500 0.303

Entry 2:
VASP calculation (PBE-GGA) on an optimized crystal structure of Cu4OsBr.

Results
Size of the total moment = 4.0 Bohr magnetons per cell

a b c (Å): 6.960 6.960 6.960
angles (deg): 90.00 90.00 90.00
Space group F-43m (No. 216)
Inequivalent atoms, fractional coordinates:
Cu 0.124 0.124 0.124
Os 0.250 0.250 0.750
Br 0.000 0.000 0.500

Entry 3:
VASP calculation (PBE-GGA) on an optimized crystal structure of CuOs2Br.

Results
Size of the total moment = 0.0 Bohr magnetons per cell

a b c (Å): 2.788 4.696 4.745
angles (deg): 90.00 90.00 90.00
Space group Pmmm (No. 47)
Inequivalent atoms, fractional coordinates:
Cu 0.000 0.000 0.000
Os 0.000 0.500 0.500
Os 0.500 0.500 0.000
Br 0.500 0.000 0.500

Entry 4:
VASP calculation (PBE-GGA) on an optimized crystal structure of CuOs2Br.

Results
Size of the total moment = 0.0 Bohr magnetons per cell

a b c (Å): 2.8480 2.8480 27.1092
angles (deg): 90.00 90.00 120.00
Space group R3m (No. 160, hexagonal axes)
Inequivalent atoms, fractional coordinates:
Cu 0.0000 0.0000 0.0000
Os 0.0000 0.0000 0.4859
Os 0.0000 0.0000 0.7451
Br 0.0000 0.0000 0.2440

Entry 5:
VASP calculation (PBE-GGA) on an optimized crystal structure of CuOs3Br.

Results
Size of the total moment = 0.9 Bohr magnetons per cell

a b c (Å): 4.531 4.531 4.531
angles (deg): 90.00 90.00 90.00
Space group Pm-3m (No. 221)
Inequivalent atoms, fractional coordinates:
Cu 0.000 0.000 0.000
Os 0.000 0.500 0.500
Br 0.500 0.500 0.500

Entry 6:
VASP calculation (PBE-GGA) on an optimized crystal structure of Cu2OsBr.

Results
Size of the total moment = 0.0 Bohr magnetons per cell

a b c (Å): 5.318 8.159 2.759
angles (deg): 90.00 90.00 90.00
Space group Cmmm (No. 65)
Inequivalent atoms, fractional coordinates:
Cu 0.250 0.250 0.000
Os 0.000 0.000 0.500
Br 0.000 0.500 0.500

Entry 7:
VASP calculation (PBE-GGA) on an optimized crystal structure of Cu2OsBr.

Results
Size of the total moment = 4.9 Bohr magnetons per cell

a b c (Å): 7.041 7.041 5.205
angles (deg): 90.00 90.00 90.00
Space group I-42d (No. 122)
Inequivalent atoms, fractional coordinates:
Cu 0.248 0.250 0.125
Os 0.000 0.000 0.000
Br 0.000 0.000 0.500

Entry 8:
VASP calculation (PBE-GGA) on an optimized crystal structure of Cu2OsBr.

Results
Size of the total moment = 0.0 Bohr magnetons per cell

a b c (Å): 2.874 4.039 12.341
angles (deg): 90.00 90.00 90.00
Space group Imm2 (No. 44)
Inequivalent atoms, fractional coordinates:
Cu 0.000 0.000 0.000
Cu 0.000 0.500 0.119
Os 0.000 0.000 0.447
Br 0.000 0.500 0.777

Entry 9:
VASP calculation (PBE-GGA) on an optimized crystal structure of Cu2OsBr.

Results
Size of the total moment = 0.0 Bohr magnetons per cell

a b c (Å): 2.836 4.936 8.866
angles (deg): 90.00 90.00 90.00
Space group Cmm2 (No. 35)
Inequivalent atoms, fractional coordinates:
Cu 0.000 0.000 0.000
Cu 0.000 0.500 0.225
Os 0.000 0.500 0.762
Br 0.000 0.000 0.498

Entry 10:
VASP calculation (PBE-GGA) on an optimized crystal structure of CuOs2Br.

Results
Size of the total moment = 0.0 Bohr magnetons per cell

a b c (Å): 2.906 2.906 7.987
angles (deg): 90.00 90.00 90.00
Space group P4mm (No. 99)
Inequivalent atoms, fractional coordinates:
Cu 0.000 0.000 0.000
Os 0.000 0.000 0.416
Os 0.500 0.500 0.216
Br 0.500 0.500 0.663

Entry 11:
VASP calculation (PBE-GGA) on an optimized crystal structure of CuOs2Br.

Results
Size of the total moment = 0.0 Bohr magnetons per cell

a b c (Å): 5.883 5.883 9.229
angles (deg): 90.00 90.00 90.00
Space group I-42d (No. 122)
Inequivalent atoms, fractional coordinates:
Cu 0.000 0.000 0.000
Os 0.244 0.250 0.625
Br 0.000 0.000 0.500

Entry 12:
VASP calculation (PBE-GGA) on an optimized crystal structure of Cu3OsBr9.

Results
Size of the total moment = 8.1 Bohr magnetons per cell

a b c (Å): 17.442 9.130 12.813
angles (deg): 90.00 128.25 90.00
Space group Cc (No. 9)
Inequivalent atoms, fractional coordinates:
Cu 0.000 0.056 0.000
Cu 0.101 0.385 0.898
Cu 0.368 0.074 0.569
Os 0.235 0.275 0.729
Br 0.090 0.136 0.671
Br 0.112 0.136 0.967
Br 0.117 0.473 0.575
Br 0.224 0.176 0.539
Br 0.245 0.404 0.912
Br 0.340 0.068 0.874
Br 0.376 0.427 0.791
Br 0.430 0.123 0.220
Br 0.467 0.280 0.612

Table of formation energy (no corrections) (eV/atom), in record order: 0.557 0.787 1.183 0.680 2.557 0.862 1.072 0.659 0.840 0.662 1.990 -0.184